Below is a relaxed RbTeF3 crystal, with properties calculated at the PBE-GGA level.

Cell and atoms, written as POSCAR:
```
RbTeF3
1.0
4.781 0.000 0.000
0.000 4.781 0.000
0.000 0.000 4.781
Rb Te F
1 1 3
direct
0.000 0.000 0.000
0.500 0.500 0.500
0.000 0.500 0.500
0.500 0.000 0.500
0.500 0.500 0.000
```

Raw formation energy: -1777 meV/atom
Energy above the most stable polymorph in this dataset: 1.38 eV per formula unit
Total magnetic moment: 0.00 μB/cell
Raw total energy: -3.722 eV per atom